[1]
A relaxed structure of NaDyHo2. Source: Alexandria, functional PBE-GGA.

Symmetry: R-3m, No. 166
Energy above the lowest structure with this stoichiometry: 11.4 kJ/mol of formula units
Size of the total moment: 0.00 μB/cell
Mass density: 6.448 Mg/m³
Formation enthalpy at 0 K: 0.17 eV per atom

a b c (Å): 12.783 12.783 12.783
angles (deg): 15.67 15.67 15.67
Sites, in units of the cell vectors:
Na (0.000, 0.000, 0.000)
Dy (0.500, 0.500, 0.500)
Ho (0.092, 0.092, 0.092)
Ho (0.908, 0.908, 0.908)

***

[2]
A relaxed structure of NaDyHo2. Source: Alexandria, functional PBE-GGA.

Symmetry: P4/mmm, No. 123
Energy above the lowest structure with this stoichiometry: 0.0 kJ/mol of formula units
Size of the total moment: 0.00 μB/cell
Mass density: 6.577 Mg/m³
Formation enthalpy at 0 K: 0.14 eV per atom

a b c (Å): 3.526 3.526 10.463
angles (deg): 90.00 90.00 90.00
Sites, in units of the cell vectors:
Na (0.000, 0.000, 0.000)
Dy (0.000, 0.000, 0.500)
Ho (0.500, 0.500, 0.271)
Ho (0.500, 0.500, 0.729)